[1]
VASP calculation (PBE) on crystalline Na2TbErTe4 at its relaxed geometry.

a b c (Å): 7.655 4.422 7.985
angles (deg): 90.00 108.63 90.00
Positions (direct):
Na  0.000  0.000  0.000
Na  0.500  0.500  0.000
Tb  0.000  0.500  0.500
Er  0.500  0.000  0.500
Te  0.247  0.000  0.732
Te  0.259  0.500  0.269
Te  0.741  0.500  0.731
Te  0.753  0.000  0.268

- Symmetry: P2/m, No. 10
- Energy relative to the elements, uncorrected: -1.31 eV/atom



[2]
VASP calculation (PBE) on crystalline Be5FeNi4 at its relaxed geometry.

a b c (Å): 2.593 2.593 13.334
angles (deg): 90.00 90.00 90.00
Positions (direct):
Be  0.000  0.000  0.000
Be  0.000  0.000  0.197
Be  0.000  0.000  0.393
Be  0.000  0.000  0.607
Be  0.000  0.000  0.803
Fe  0.500  0.500  0.500
Ni  0.500  0.500  0.099
Ni  0.500  0.500  0.295
Ni  0.500  0.500  0.705
Ni  0.500  0.500  0.901

- Symmetry: P4/mmm, No. 123
- DFT formation energy: -4.1 eV/f.u.



Number 1: magnetization 0.00 μB/atom. Number 2: magnetization 0.18 μB/atom.